Entry from Alexandria via LeMat-Bulk: an optimized crystal structure of BePdCl3 (PBE-GGA).

Properties
Formation energy without anion corrections: -242.4 meV per atom

Lattice parameters (Å, degrees): 4.519 4.519 4.519 90.00 90.00 90.00
Positions (direct):
Be 0.000 0.000 0.000
Pd 0.500 0.500 0.500
Cl 0.000 0.000 0.500
Cl 0.000 0.500 0.000
Cl 0.500 0.000 0.000